# 1
# Cs2SiC

Crystalline Cs2SiC at its relaxed geometry (PBE, Alexandria).

Lattice parameters (Å, degrees): 8.8548 8.8548 8.8548 90.00 90.00 90.00
Space group Fm-3m (No. 225)
One atom of each set of equivalent atoms:
Cs  0.2500  0.2500  0.2500 (multiplicity 8)
Si  0.0000  0.0000  0.0000 (multiplicity 4)
C  0.0000  0.0000  0.5000 (multiplicity 4)

Calculated values
Crystal system: cubic
Raw formation energy, eV/atom: 1.769

# 2
# CsSi2TeC

Crystalline CsSi2TeC at its relaxed geometry (PBE, Alexandria).

Lattice parameters (Å, degrees): 5.2851 5.2851 7.7106 90.00 90.00 90.00
Space group P4/mmm (No. 123)
One atom of each set of equivalent atoms:
Cs  0.0000  0.0000  0.0000 (multiplicity 1)
Si  0.0000  0.5000  0.5000 (multiplicity 2)
Te  0.0000  0.0000  0.5000 (multiplicity 1)
C  0.5000  0.5000  0.0000 (multiplicity 1)

Calculated values
Crystal system: tetragonal
Raw formation energy, eV/atom: 1.917

# 3
# Cs2SnC

Crystalline Cs2SnC at its relaxed geometry (PBE, Alexandria).

Lattice parameters (Å, degrees): 8.5170 8.5170 8.5170 90.00 90.00 90.00
Space group Fm-3m (No. 225)
One atom of each set of equivalent atoms:
Cs  0.2500  0.2500  0.2500 (multiplicity 8)
Sn  0.0000  0.0000  0.0000 (multiplicity 4)
C  0.0000  0.0000  0.5000 (multiplicity 4)

Calculated values
Energy of formation from the pure elements, meV per atom: 1623
Crystal system: cubic

# 4
# CsSnC3

Crystalline CsSnC3 at its relaxed geometry (PBE, Alexandria).

Lattice parameters (Å, degrees): 4.6472 4.6472 4.6472 90.00 90.00 90.00
Space group Pm-3m (No. 221)
One atom of each set of equivalent atoms:
Cs  0.0000  0.0000  0.0000 (multiplicity 1)
Sn  0.5000  0.5000  0.5000 (multiplicity 1)
C  0.0000  0.0000  0.5000 (multiplicity 3)

Calculated values
Energy of formation from the pure elements, meV per atom: 3877
Crystal system: cubic

# 5
# CsSn2C

Crystalline CsSn2C at its relaxed geometry (PBE, Alexandria).

Lattice parameters (Å, degrees): 7.2707 7.2707 10.2297 90.00 90.00 90.00
Space group I-42d (No. 122)
One atom of each set of equivalent atoms:
Cs  0.0000  0.0000  0.0000 (multiplicity 4)
Sn  0.0900  0.7500  0.6250 (multiplicity 8)
C  0.0000  0.0000  0.5000 (multiplicity 4)

Calculated values
Energy of formation from the pure elements, meV per atom: 841
Crystal system: tetragonal

# 6
# CsSrC3

Crystalline CsSrC3 at its relaxed geometry (PBE, Alexandria).

Lattice parameters (Å, degrees): 4.7020 4.7020 4.7020 90.00 90.00 90.00
Space group Pm-3m (No. 221)
One atom of each set of equivalent atoms:
Cs  0.0000  0.0000  0.0000 (multiplicity 1)
Sr  0.5000  0.5000  0.5000 (multiplicity 1)
C  0.0000  0.0000  0.5000 (multiplicity 3)

Calculated values
Energy of formation from the pure elements, meV per atom: 3191
Crystal system: cubic
Energy relative to the lowest polymorph listed for this composition, eV/atom: 0.421

# 7
# CsSrC3

Crystalline CsSrC3 at its relaxed geometry (PBE, Alexandria).

Lattice parameters (Å, degrees): 5.4743 5.4743 5.4743 90.00 90.00 90.00
Space group Pm-3m (No. 221)
One atom of each set of equivalent atoms:
Cs  0.0000  0.0000  0.0000 (multiplicity 1)
Sr  0.5000  0.5000  0.5000 (multiplicity 1)
C  0.0000  0.5000  0.5000 (multiplicity 3)

Calculated values
Energy of formation from the pure elements, meV per atom: 2770
Crystal system: cubic
Energy relative to the lowest polymorph listed for this composition, eV/atom: 0.000

# 8
# CsTaC2

Crystalline CsTaC2 at its relaxed geometry (PBE, Alexandria).

Lattice parameters (Å, degrees): 6.2190 6.2190 6.2190 90.00 90.00 90.00
Space group Fm-3m (No. 225)
One atom of each set of equivalent atoms:
Cs  0.0000  0.0000  0.0000 (multiplicity 4)
Ta  0.0000  0.0000  0.5000 (multiplicity 4)
C  0.2500  0.2500  0.2500 (multiplicity 8)

Calculated values
Energy of formation from the pure elements, meV per atom: 2837
Crystal system: cubic
Energy relative to the lowest polymorph listed for this composition, eV/atom: 2.116